Entry 1:
This record from Alexandria describes a relaxed Pr2MgCu crystal. The functional is PBE-GGA.

Computed properties:
Crystal system: trigonal
Energy relative to the lowest polymorph listed for this composition in meV per atom: 351
Energy of formation in eV/atom: 0.250

The structure in CIF format:
```
data_Pr2MgCu
_cell_length_a 11.4016
_cell_length_b 11.4016
_cell_length_c 11.4016
_cell_angle_alpha 17.60
_cell_angle_beta 17.60
_cell_angle_gamma 17.60
_space_group_name_H-M_alt 'P 1'
_space_group_IT_number 1
loop_
_space_group_symop_operation_xyz
'x,y,z'
loop_
_atom_site_label
_atom_site_fract_x
_atom_site_fract_y
_atom_site_fract_z
_atom_site_occupancy
Pr1 0.1018 0.1018 0.1018 1
Pr2 0.8982 0.8982 0.8982 1
Mg1 0.0000 0.0000 0.0000 1
Cu1 0.5000 0.5000 0.5000 1
```


Entry 2:
This record from Alexandria describes a relaxed Ba2AcPrSe4 crystal. The functional is PBE-GGA.

Computed properties:
Crystal system: monoclinic
Energy in eV/atom: -5.268

The structure in CIF format:
```
data_Ba2AcPrSe4
_cell_length_a 7.7690
_cell_length_b 4.4942
_cell_length_c 7.9428
_cell_angle_alpha 90.00
_cell_angle_beta 109.04
_cell_angle_gamma 90.00
_space_group_name_H-M_alt 'P 1'
_space_group_IT_number 1
loop_
_space_group_symop_operation_xyz
'x,y,z'
loop_
_atom_site_label
_atom_site_fract_x
_atom_site_fract_y
_atom_site_fract_z
_atom_site_occupancy
Ba1 0.0000 0.0000 0.0000 1
Ba2 0.5000 0.5000 0.0000 1
Ac1 0.0000 0.5000 0.5000 1
Pr1 0.5000 0.0000 0.5000 1
Se1 0.2499 0.0000 0.7311 1
Se2 0.2630 0.5000 0.2724 1
Se3 0.7370 0.5000 0.7276 1
Se4 0.7501 0.0000 0.2689 1
```